A relaxed structure of GaCo5, computed with GGA-PBE.

Unit cell a=3.5875 b=10.6384 c=3.5561 alpha=90.00 beta=90.00 gamma=90.00
With the nearest neighbours (Å) after each atom.
Space group Cmmm (No. 65)
Inequivalent atoms, fractional coordinates:
Ga: 0.0000 0.0000 0.0000 (multiplicity 2)  12 Co 2.53-2.57
Co: 0.0000 0.1711 0.5000 (multiplicity 4)  10 Co 2.43-2.56, 2 Ga 2.54
Co: 0.0000 0.3270 0.0000 (multiplicity 4)  10 Co 2.43-2.56, 2 Ga 2.57
Co: 0.0000 0.5000 0.5000 (multiplicity 2)  4 Ga 2.53, 8 Co 2.56

- Uncorrected energy: -38.870 eV/f.u.

=====

A relaxed structure of Ga3Co, computed with GGA-PBE.

Unit cell a=3.3029 b=8.8922 c=8.0628 alpha=90.00 beta=90.00 gamma=90.00
With the nearest neighbours (Å) after each atom.
Space group Cmcm (No. 63)
Inequivalent atoms, fractional coordinates:
Ga: 0.0000 0.0492 0.2500 (multiplicity 4)  3 Co 2.53
Ga: 0.0000 0.3586 0.0455 (multiplicity 8)  3 Co 2.48-2.62, 3 Ga 2.62-2.65
Co: 0.0000 0.2349 0.7500 (multiplicity 4)  9 Ga 2.48-2.62

- Uncorrected energy: -16.987 eV/f.u.

=====

A relaxed structure of Ga6Co5, computed with GGA-PBE.

Unit cell a=4.0754 b=5.6340 c=12.1957 alpha=90.00 beta=90.00 gamma=90.00
With the nearest neighbours (Å) after each atom.
Space group Immm (No. 71)
Inequivalent atoms, fractional coordinates:
Ga: 0.0000 0.2332 0.0000 (multiplicity 4)  6 Co 2.48-2.53, 1 Ga 2.63
Ga: 0.0000 0.2590 0.3385 (multiplicity 8)  7 Co 2.45-2.55, 1 Ga 2.72
Co: 0.0000 0.0000 0.1740 (multiplicity 4)  8 Ga 2.45-2.50
Co: 0.0000 0.0000 0.5000 (multiplicity 2)  8 Ga 2.45-2.53
Co: 0.0000 0.5000 0.1615 (multiplicity 4)  8 Ga 2.48-2.55

- Uncorrected energy: -56.814 eV/f.u.

=====

A relaxed structure of GaCo3, computed with GGA-PBE.

Unit cell a=3.6330 b=3.6330 c=6.9819 alpha=90.00 beta=90.00 gamma=90.00
With the nearest neighbours (Å) after each atom.
Space group I4/mmm (No. 139)
Inequivalent atoms, fractional coordinates:
Ga: 0.0000 0.0000 0.0000 (multiplicity 2)  12 Co 2.52-2.57
Co: 0.0000 0.0000 0.5000 (multiplicity 2)  8 Co 2.52, 4 Ga 2.57
Co: 0.0000 0.5000 0.2500 (multiplicity 4)  8 Co 2.52-2.57, 4 Ga 2.52

- Uncorrected energy: -24.698 eV/f.u.

=====

A relaxed structure of Gd4Ga16Co3, computed with GGA-PBE.

Unit cell a=6.0527 b=6.0527 c=11.1569 alpha=90.00 beta=90.00 gamma=90.00
With the nearest neighbours (Å) after each atom.
Space group P4/mmm (No. 123)
Inequivalent atoms, fractional coordinates:
Gd: 0.0000 0.5000 0.1954 (multiplicity 4)  12 Ga 3.01-3.07
Ga: 0.0000 0.0000 0.1955 (multiplicity 2)  8 Ga 2.88-3.01, 4 Gd 3.03
Ga: 0.2198 0.2198 0.0000 (multiplicity 4)  1 Co 2.40, 2 Ga 2.66
Ga: 0.2508 0.2508 0.3852 (multiplicity 8)  2 Co 2.49, 1 Ga 2.56
Ga: 0.5000 0.5000 0.2185 (multiplicity 2)  1 Co 2.44
Co: 0.0000 0.5000 0.5000 (multiplicity 2)  8 Ga 2.49
Co: 0.5000 0.5000 0.0000 (multiplicity 1)  6 Ga 2.40-2.44

- Uncorrected energy: -137.898 eV/f.u.

=====

A relaxed structure of GdGa3Co, computed with GGA-PBE.

Unit cell a=4.5477 b=4.5477 c=4.5477 alpha=90.00 beta=90.00 gamma=90.00
With the nearest neighbours (Å) after each atom.
Space group Pm-3m (No. 221)
Inequivalent atoms, fractional coordinates:
Gd: 0.0000 0.0000 0.0000 (multiplicity 1)  12 Ga 3.22
Ga: 0.0000 0.5000 0.5000 (multiplicity 3)  2 Co 2.27
Co: 0.5000 0.5000 0.5000 (multiplicity 1)  6 Ga 2.27

- Uncorrected energy: -32.137 eV/f.u.

=====

A relaxed structure of GdGaCo, computed with GGA-PBE.

Unit cell a=4.2131 b=4.2131 c=3.7415 alpha=90.00 beta=90.00 gamma=120.00
With the nearest neighbours (Å) after each atom.
Space group P-6m2 (No. 187)
Inequivalent atoms, fractional coordinates:
Gd: 0.0000 0.0000 0.0000 (multiplicity 1)  6 Co 3.07, 6 Ga 3.07
Ga: 0.6667 0.3333 0.5000 (multiplicity 1)  3 Co 2.43
Co: 0.3333 0.6667 0.5000 (multiplicity 1)  3 Ga 2.43

- Uncorrected energy: -25.391 eV/f.u.

=====

A relaxed structure of Gd2Ga9Co3, computed with GGA-PBE.

Unit cell a=12.7707 b=7.4170 c=9.4602 alpha=90.00 beta=90.00 gamma=90.00
With the nearest neighbours (Å) after each atom.
Space group Cmcm (No. 63)
Inequivalent atoms, fractional coordinates:
Gd: 0.1644 0.1671 0.2500 (multiplicity 8)  11 Ga 2.98-3.05
Ga: 0.0000 0.1221 0.7500 (multiplicity 4)  2 Co 2.53, 6 Ga 2.74
Ga: 0.0000 0.3341 0.0561 (multiplicity 8)  3 Co 2.53-2.56, 5 Ga 2.68-2.82
Ga: 0.1064 0.4430 0.7500 (multiplicity 8)  2 Co 2.54, 6 Ga 2.72-2.82
Ga: 0.1666 0.1676 0.5714 (multiplicity 16)  3 Co 2.51-2.56, 4 Ga 2.74-2.80
Co: 0.0000 0.0000 0.0000 (multiplicity 4)  8 Ga 2.53-2.56
Co: 0.1706 0.5000 0.0000 (multiplicity 8)  8 Ga 2.51-2.56

- Uncorrected energy: -83.508 eV/f.u.

=====

A relaxed structure of Gd2Ga4Co, computed with GGA-PBE.

Unit cell a=4.4507 b=4.4507 c=15.0640 alpha=90.00 beta=90.00 gamma=90.00
With the nearest neighbours (Å) after each atom.
Space group I4/mmm (No. 139)
Inequivalent atoms, fractional coordinates:
Gd: 0.0000 0.0000 0.1494 (multiplicity 4)  9 Ga 2.91-3.17
Ga: 0.0000 0.0000 0.3426 (multiplicity 4)  1 Co 2.37
Ga: 0.0000 0.5000 0.0000 (multiplicity 4)  2 Co 2.23
Co: 0.0000 0.0000 0.5000 (multiplicity 2)  6 Ga 2.23-2.37

- Uncorrected energy: -50.069 eV/f.u.

=====

A relaxed structure of LaGdGaCo, computed with GGA-PBE.

Unit cell a=7.1820 b=7.1820 c=7.1820 alpha=90.00 beta=90.00 gamma=90.00
With the nearest neighbours (Å) after each atom.
Space group F-43m (No. 216)
Inequivalent atoms, fractional coordinates:
La: 0.0000 0.0000 0.0000 (multiplicity 4)  4 Co 3.11, 4 Ga 3.11
Gd: 0.0000 0.0000 0.5000 (multiplicity 4)  4 Co 3.11, 4 Ga 3.11
Ga: 0.2500 0.2500 0.2500 (multiplicity 4)  4 Gd 3.11, 4 La 3.11
Co: 0.2500 0.2500 0.7500 (multiplicity 4)  4 Gd 3.11, 4 La 3.11

- Uncorrected energy: -30.047 eV/f.u.

=====

A relaxed structure of GdLuGaCo, computed with GGA-PBE.

Unit cell a=6.8976 b=6.8976 c=6.8976 alpha=90.00 beta=90.00 gamma=90.00
With the nearest neighbours (Å) after each atom.
Space group F-43m (No. 216)
Inequivalent atoms, fractional coordinates:
Gd: 0.0000 0.0000 0.0000 (multiplicity 4)  4 Ga 2.99, 4 Co 2.99
Lu: 0.0000 0.0000 0.5000 (multiplicity 4)  4 Co 2.99, 4 Ga 2.99
Ga: 0.2500 0.2500 0.7500 (multiplicity 4)  4 Gd 2.99, 4 Lu 2.99
Co: 0.2500 0.2500 0.2500 (multiplicity 4)  4 Gd 2.99, 4 Lu 2.99

- Uncorrected energy: -30.030 eV/f.u.

=====

A relaxed structure of GdMgGaCo, computed with GGA-PBE.

Unit cell a=6.7172 b=6.7172 c=6.7172 alpha=90.00 beta=90.00 gamma=90.00
With the nearest neighbours (Å) after each atom.
Space group F-43m (No. 216)
Inequivalent atoms, fractional coordinates:
Gd: 0.0000 0.0000 0.0000 (multiplicity 4)  4 Co 2.91, 4 Ga 2.91
Mg: 0.0000 0.0000 0.5000 (multiplicity 4)  4 Ga 2.91, 4 Co 2.91
Ga: 0.2500 0.2500 0.2500 (multiplicity 4)  4 Gd 2.91, 4 Mg 2.91
Co: 0.2500 0.2500 0.7500 (multiplicity 4)  4 Mg 2.91, 4 Gd 2.91

- Uncorrected energy: -26.464 eV/f.u.

=====

no.,total magnetic moment (μB per cell)
1,14.2
2,0.0
3,0.0
4,7.3
5,27.7
6,7.3
7,6.5
8,56.9
9,29.3
10,31.8
11,31.3
12,24.0